## A
An optimized crystal structure of Tb2ScPt. Source: Alexandria, functional PBE.

extended XYZ file:
```
4
Lattice="1.800 1.039 10.302 -1.800 1.039 10.302 0.000 -2.079 10.302" Properties=species:S:1:pos:R:3 pbc="T T T"
Tb 0.000 0.000 3.254
Tb 0.000 0.000 27.652
Sc 0.000 0.000 0.000
Pt 0.000 0.000 15.453
```

Calculated values
As for the space group: R-3m.


## B
An optimized crystal structure of Tb2ScPt. Source: Alexandria, functional PBE.

extended XYZ file:
```
4
Lattice="3.620 0.000 0.000 0.000 3.620 0.000 0.000 0.000 7.564" Properties=species:S:1:pos:R:3 pbc="T T T"
Tb 0.000 0.000 1.635
Tb 0.000 0.000 5.929
Sc 1.810 1.810 3.782
Pt 1.810 1.810 0.000
```

Calculated values
As for the space group: P4/mmm.


Calculated relative energies: A 0.353; B 0.000, given in eV/atom